No. 1
Below is a relaxed structure of DyPdPt3, with properties calculated at the PBE level.

```
DyPdPt3
1.0
-2.951 2.285 -2.379
3.192 -1.554 -5.452
-3.582 -5.252 -0.601
Dy Pd Pt
2 2 6
Direct
0.500 0.000 0.249
0.000 0.500 0.751
0.000 0.000 0.545
0.500 0.500 0.455
0.000 0.698 0.245
0.500 0.802 0.755
0.500 0.198 0.755
0.000 0.302 0.245
0.000 0.000 0.952
0.500 0.500 0.048
```

Calculated values
Size of the total moment   0.00 μB per cell
Polymorph energy (0 for the lowest one)   0.000 eV/atom
N(E_F)   1.5016 states/eV per atom
Formation energy   -0.566 eV/atom
DFT total energy   -61.5 eV/cell

***

No. 2
Below is a relaxed structure of Dy2Pd4Pt, with properties calculated at the PBE level.

```
Dy2Pd4Pt
1.0
-2.249 8.236 -3.466
-4.592 -0.063 2.829
4.857 2.502 2.796
Dy Pd Pt
4 8 2
Direct
0.000 0.645 0.290
0.000 0.355 0.710
0.500 0.855 0.710
0.500 0.145 0.290
0.752 0.743 0.000
0.750 0.503 0.500
0.750 0.003 0.500
0.748 0.243 0.000
0.252 0.757 0.000
0.250 0.997 0.500
0.250 0.497 0.500
0.248 0.257 0.000
0.000 0.000 0.000
0.500 0.500 0.000
```

Calculated values
Size of the total moment   0.00 μB per cell
N(E_F)   0.7159 states/eV per atom
Formation energy   -0.578 eV/atom
DFT total energy   -80.1 eV/cell

***

No. 3
Below is a relaxed structure of DyPd2Pt, with properties calculated at the PBE level.

```
DyPd2Pt
1.0
4.664 0.000 0.000
2.332 4.039 0.000
2.332 1.346 3.808
Pd Pt Dy
2 1 1
Direct
0.250 0.250 0.250
0.750 0.750 0.750
0.500 0.500 0.500
0.000 0.000 0.000
```

Calculated values
Size of the total moment   0.00 μB per cell
Polymorph energy (0 for the lowest one)   0.176 eV/atom
N(E_F)   0.5067 states/eV per atom
Formation energy   -0.758 eV/atom
DFT total energy   -24.1 eV/cell

***

No. 4
Below is a relaxed structure of Dy3PdPt, with properties calculated at the PBE level.

```
Dy3PdPt
1.0
5.477 0.074 0.959
-2.656 6.443 -1.612
1.395 -4.181 8.229
Dy Pd Pt
6 2 2
Direct
0.443 0.822 0.155
0.217 0.329 0.666
0.900 0.757 0.753
0.100 0.243 0.247
0.557 0.178 0.845
0.783 0.671 0.334
0.725 0.196 0.517
0.275 0.804 0.483
0.939 0.693 0.015
0.061 0.307 0.985
```

Calculated values
Size of the total moment   0.00 μB per cell
N(E_F)   0.8561 states/eV per atom
Formation energy   -0.846 eV/atom
DFT total energy   -58.5 eV/cell

***

Which value of size of the total moment does entry 1 give?
0.00 μB per cell

***

Which value of size of the total moment does entry 1 give?
0.00 μB per cell